Entry 1:
# PrNp4P5

An optimized crystal structure of PrNp4P5 (PBE, the Alexandria database).

a = 4.012 Å, b = 5.677 Å, c = 10.603 Å
α = 105.53°, β = 100.91°, γ = 90.00°
Element x y z (fractional)
Pr 0.000 0.000 0.000
Np 0.400 0.400 0.800
Np 0.797 0.797 0.594
Np 0.203 0.203 0.406
Np 0.600 0.600 0.200
P 0.607 0.107 0.215
P 0.802 0.302 0.604
P 0.198 0.698 0.396
P 0.000 0.500 0.000
P 0.393 0.893 0.785

Computed properties:
**Total energy**: -93.406 eV/cell

***

Entry 2:
# SrAcGa4

An optimized crystal structure of SrAcGa4 (PBE, the Alexandria database).

a = 5.850 Å, b = 5.850 Å, c = 5.850 Å
α = 60.00°, β = 60.00°, γ = 60.00°
Element x y z (fractional)
Sr 0.250 0.250 0.250
Ac 0.000 0.000 0.000
Ga 0.625 0.625 0.124
Ga 0.625 0.124 0.625
Ga 0.625 0.625 0.625
Ga 0.124 0.625 0.625

Computed properties:
**Offset from the most stable computed form**: 13.8 kJ per mole of atoms

***

Entry 3:
# MgSnBMo2

An optimized crystal structure of MgSnBMo2 (PBE, the Alexandria database).

a = 4.296 Å, b = 4.536 Å, c = 4.296 Å
α = 90.00°, β = 90.00°, γ = 90.00°
Element x y z (fractional)
Mg 0.500 0.500 0.500
Mo 0.000 0.000 0.500
Mo 0.500 0.000 0.000
B 0.000 0.000 0.000
Sn 0.000 0.500 0.000

Computed properties:
**Total energy**: -31.414 eV/cell

***

Entry 4:
# MnAuSe2

An optimized crystal structure of MnAuSe2 (PBE, the Alexandria database).

a = 12.223 Å, b = 12.223 Å, c = 3.989 Å
α = 90.00°, β = 90.00°, γ = 165.77°
Element x y z (fractional)
Mn 0.314 0.686 0.250
Mn 0.686 0.314 0.750
Au 0.039 0.961 0.250
Au 0.961 0.039 0.750
Se 0.212 0.788 0.250
Se 0.788 0.212 0.750
Se 0.890 0.110 0.250
Se 0.110 0.890 0.750

Computed properties:
**Uncorrected formation energy**: 0.03 eV per atom

***

Entry 5:
# Hg2PbF

An optimized crystal structure of Hg2PbF (PBE, the Alexandria database).

a = 4.051 Å, b = 4.051 Å, c = 12.325 Å
α = 80.54°, β = 80.54°, γ = 90.00°
Element x y z (fractional)
Pb 0.000 0.000 0.000
Pb 0.750 0.250 0.500
Hg 0.623 0.125 0.250
Hg 0.127 0.625 0.250
Hg 0.375 0.377 0.750
Hg 0.875 0.873 0.750
F 0.500 0.500 0.000
F 0.250 0.750 0.500

Computed properties:
**Offset from the most stable computed form**: 0.0 kJ per mole of atoms
**Uncorrected formation energy**: -0.60 eV per atom

***

Entry 6:
# CsCuS6

An optimized crystal structure of CsCuS6 (PBE, the Alexandria database).

a = 10.258 Å, b = 6.545 Å, c = 13.202 Å
α = 78.98°, β = 136.94°, γ = 137.73°
Element x y z (fractional)
Cs 0.500 0.500 0.500
Cu 0.000 0.000 0.000
S 0.442 0.892 0.107
S 0.349 0.848 0.657
S 0.528 0.395 0.884
S 0.651 0.152 0.343
S 0.558 0.108 0.893
S 0.472 0.605 0.116

Computed properties:
**Offset from the most stable computed form**: 6.9 kJ per mole of atoms
**Uncorrected formation energy**: -0.26 eV per atom